{"formula": "SrTlAg2", "functional": "PBE", "state": "relaxed", "delta_e_f_mev_per_atom": -107, "space_group": "P4mm, No. 99", "lattice": [[3.792, 0.000, 0.000], [0.000, 3.792, 0.000], [0.000, 0.000, 7.210]], "species": ["Sr", "Tl", "Ag", "Ag"], "fractional_positions": [[0.000, 0.000, 0.000], [0.500, 0.500, 0.316], [0.000, 0.000, 0.534], [0.500, 0.500, 0.723]]}